Material: VAsBr2F
Method: DFT, PBE+U
State: optimized geometry

```
VAsBr2F
1.0
4.863 0.000 0.000
0.000 4.863 0.000
0.000 0.000 4.858
As F Br V
1 1 2 1
direct
0.000 0.000 0.500
0.500 0.500 0.500
0.000 0.500 0.000
0.500 0.000 0.000
0.000 0.000 0.000
```

E above lowest polymorph in meV per atom: 0
SG: P4/mmm